1.
Cs2CuAgI5 | PBE | relaxed

The structure in POSCAR format:
```
Cs2CuAgI5
1.0
4.450 0.000 0.000
-2.225 12.338 0.000
0.000 0.000 14.590
Cs Cu Ag I
4 2 2 10
direct
0.889 0.778 0.793 Cs
0.128 0.256 0.682 Cs
0.111 0.222 0.293 Cs
0.872 0.744 0.182 Cs
0.566 0.132 0.944 Cu
0.434 0.868 0.444 Cu
0.781 0.562 0.530 Ag
0.219 0.438 0.030 Ag
0.333 0.666 0.981 I
0.670 0.341 0.913 I
0.517 0.033 0.785 I
0.284 0.568 0.665 I
0.963 0.926 0.530 I
0.667 0.334 0.481 I
0.330 0.659 0.413 I
0.483 0.967 0.285 I
0.716 0.432 0.165 I
0.037 0.074 0.030 I
```

total energy	-2.563	eV/atom
symmetry	No. 36



2.
LaSiRu2 | PBE | relaxed

The structure in POSCAR format:
```
LaSiRu2
1.0
-2.007 9.145 -1.130
-4.723 8.014 -1.548
-3.751 8.568 1.205
La Ru Si
1 2 1
direct
0.750 0.750 0.750 La
0.988 0.988 0.988 Ru
0.246 0.246 0.246 Ru
0.516 0.516 0.516 Si
```

total energy	-6.923	eV/atom
symmetry	No. 160



3.
HgRu3 | PBE | relaxed

The structure in POSCAR format:
```
HgRu3
1.0
5.608 0.000 0.000
2.804 4.857 0.000
0.000 0.000 9.177
Ru Hg
12 4
direct
0.500 0.500 0.000 Ru
0.500 0.500 0.500 Ru
0.829 0.341 0.750 Ru
0.341 0.829 0.750 Ru
0.171 0.171 0.250 Ru
0.500 0.000 0.000 Ru
0.500 0.000 0.500 Ru
0.000 0.500 0.000 Ru
0.000 0.500 0.500 Ru
0.829 0.829 0.750 Ru
0.659 0.171 0.250 Ru
0.171 0.659 0.250 Ru
0.000 0.000 0.000 Hg
0.000 0.000 0.500 Hg
0.667 0.667 0.250 Hg
0.333 0.333 0.750 Hg
```

formation energy from the elements	0.6171	eV/atom
symmetry	No. 194



4.
MnBiSe2 | PBE | relaxed

The structure in POSCAR format:
```
MnBiSe2
1.0
10.210 0.000 0.000
0.000 3.492 0.000
0.000 0.000 12.354
Mn Bi Se
4 4 8
direct
0.026 0.250 0.579 Mn
0.474 0.750 0.079 Mn
0.974 0.750 0.421 Mn
0.526 0.250 0.921 Mn
0.098 0.250 0.266 Bi
0.402 0.750 0.766 Bi
0.902 0.750 0.734 Bi
0.598 0.250 0.234 Bi
0.833 0.250 0.482 Se
0.667 0.750 0.982 Se
0.167 0.750 0.518 Se
0.333 0.250 0.018 Se
0.619 0.250 0.739 Se
0.881 0.750 0.239 Se
0.381 0.750 0.261 Se
0.119 0.250 0.761 Se
```

total energy	-5.242	eV/atom
symmetry	No. 62



Repeat the third record exactly.
HgRu3 | PBE | relaxed

The structure in POSCAR format:
```
HgRu3
1.0
5.608 0.000 0.000
2.804 4.857 0.000
0.000 0.000 9.177
Ru Hg
12 4
direct
0.500 0.500 0.000 Ru
0.500 0.500 0.500 Ru
0.829 0.341 0.750 Ru
0.341 0.829 0.750 Ru
0.171 0.171 0.250 Ru
0.500 0.000 0.000 Ru
0.500 0.000 0.500 Ru
0.000 0.500 0.000 Ru
0.000 0.500 0.500 Ru
0.829 0.829 0.750 Ru
0.659 0.171 0.250 Ru
0.171 0.659 0.250 Ru
0.000 0.000 0.000 Hg
0.000 0.000 0.500 Hg
0.667 0.667 0.250 Hg
0.333 0.333 0.750 Hg
```

formation energy from the elements	0.6171	eV/atom
symmetry	No. 194